Entry 1:
! LaAg2Ru (GGA-PBE, optimized geometry); values from VASP
! - energy of formation (eV/atom) = 0.038
! - N(E_F) (states/eV per cell) = 3.17
&SYSTEM
  ibrav = 0, nat = 4, ntyp = 3
/
ATOMIC_SPECIES
Ag 107.87 Ag.upf
La 138.91 La.upf
Ru 101.07 Ru.upf
CELL_PARAMETERS angstrom
5.358 -1.024 -0.620
4.093 3.606 -0.620
4.093 1.118 3.484
ATOMIC_POSITIONS angstrom
Ag 0.253 0.069 0.042
Ag 4.022 1.099 0.666
La 6.877 1.879 1.139
Ru 9.164 2.504 1.518

Entry 2:
! La4AgRu (GGA-PBE, optimized geometry); values from VASP
! - energy of formation (eV/atom) = 0.712
! - N(E_F) (states/eV per cell) = 9.33
&SYSTEM
  ibrav = 0, nat = 6, ntyp = 3
/
ATOMIC_SPECIES
La 138.91 La.upf
Ag 107.87 Ag.upf
Ru 101.07 Ru.upf
CELL_PARAMETERS angstrom
-0.625 -4.483 4.259
1.633 1.070 5.900
-4.368 0.477 4.395
ATOMIC_POSITIONS angstrom
La -1.574 -3.326 7.584
La -3.429 -0.868 7.652
La -0.455 -0.574 8.398
La -1.264 -1.104 5.474
Ag 0.000 0.000 0.000
Ru -2.520 -2.202 10.915

Entry 3:
! LaAg4Ru (GGA-PBE, optimized geometry); values from VASP
! - energy of formation (eV/atom) = 0.166
! - N(E_F) (states/eV per cell) = 5.04
&SYSTEM
  ibrav = 0, nat = 6, ntyp = 3
/
ATOMIC_SPECIES
La 138.91 La.upf
Ag 107.87 Ag.upf
Ru 101.07 Ru.upf
CELL_PARAMETERS angstrom
0.000 3.917 3.917
3.917 0.000 3.917
3.917 3.917 0.000
ATOMIC_POSITIONS angstrom
La 5.876 5.876 5.876
Ag 2.931 4.904 4.904
Ag 4.904 4.904 2.931
Ag 4.904 2.931 4.904
Ag 2.931 2.931 2.931
Ru 0.000 0.000 0.000

Entry 4:
! La2AgRu (GGA-PBE, optimized geometry); values from VASP
! - energy of formation (eV/atom) = -0.175
! - N(E_F) (states/eV per cell) = 3.11
&SYSTEM
  ibrav = 0, nat = 4, ntyp = 3
/
ATOMIC_SPECIES
Ru 101.07 Ru.upf
Ag 107.87 Ag.upf
La 138.91 La.upf
CELL_PARAMETERS angstrom
5.206 0.004 0.000
-5.230 6.370 -0.001
-0.002 2.123 3.003
ATOMIC_POSITIONS angstrom
Ru -0.012 3.187 -0.001
Ag 2.602 1.063 1.501
La 0.000 0.000 0.000
La -2.616 4.246 1.501

Entry 5:
! La3AgRu (GGA-PBE, optimized geometry); values from VASP
! - energy of formation (eV/atom) = -0.266
! - N(E_F) (states/eV per cell) = 9.06
&SYSTEM
  ibrav = 0, nat = 10, ntyp = 3
/
ATOMIC_SPECIES
La 138.91 La.upf
Ag 107.87 Ag.upf
Ru 101.07 Ru.upf
CELL_PARAMETERS angstrom
5.929 0.066 0.329
-2.901 6.183 -0.537
0.453 -3.057 8.187
ATOMIC_POSITIONS angstrom
La 0.452 4.464 0.762
La 0.090 0.212 5.381
La 3.266 2.680 6.169
La 0.216 0.512 1.811
La 3.029 -1.272 7.217
La 3.392 2.980 2.599
Ag 3.150 -0.040 4.059
Ag 0.332 3.232 3.920
Ru 3.458 4.230 0.228
Ru 0.024 -1.037 7.752

Entry 6:
! La2AgRu (GGA-PBE, optimized geometry); values from VASP
! - energy of formation (eV/atom) = -0.242
! - N(E_F) (states/eV per cell) = 2.45
&SYSTEM
  ibrav = 0, nat = 4, ntyp = 3
/
ATOMIC_SPECIES
Ru 101.07 Ru.upf
Ag 107.87 Ag.upf
La 138.91 La.upf
CELL_PARAMETERS angstrom
4.356 0.000 0.000
0.000 4.275 0.000
0.000 2.141 5.680
ATOMIC_POSITIONS angstrom
Ru 0.000 4.006 2.219
Ag 2.178 4.011 4.413
La 0.000 6.150 5.467
La 2.178 1.873 2.100

Entry 7:
! LaAg2Ru (GGA-PBE, optimized geometry); values from VASP
! - energy of formation (eV/atom) = 0.173
! - N(E_F) (states/eV per cell) = 2.93
&SYSTEM
  ibrav = 0, nat = 4, ntyp = 3
/
ATOMIC_SPECIES
Ag 107.87 Ag.upf
La 138.91 La.upf
Ru 101.07 Ru.upf
CELL_PARAMETERS angstrom
-4.641 -1.494 0.344
-1.651 -3.542 -2.936
-1.017 -4.417 1.831
ATOMIC_POSITIONS angstrom
Ag 0.000 0.000 0.000
Ag -1.827 -2.363 -0.190
La -3.655 -4.726 -0.381
Ru -5.482 -7.089 -0.571

Entry 8:
! La5AgRu2 (GGA-PBE, optimized geometry); values from VASP
! - energy of formation (eV/atom) = -0.303
! - N(E_F) (states/eV per cell) = 13.81
&SYSTEM
  ibrav = 0, nat = 16, ntyp = 3
/
ATOMIC_SPECIES
La 138.91 La.upf
Ag 107.87 Ag.upf
Ru 101.07 Ru.upf
CELL_PARAMETERS angstrom
-7.290 3.137 -0.776
-3.053 -6.056 4.195
6.120 5.153 4.313
ATOMIC_POSITIONS angstrom
La -1.515 1.194 5.736
La -7.139 -2.027 4.574
La 0.000 0.000 0.000
La -5.171 -1.460 1.709
La 2.916 4.260 3.158
La -1.263 4.771 3.503
La 2.663 0.684 5.391
La -2.960 -2.537 4.229
La -6.887 1.550 2.340
La -2.708 1.040 1.996
Ag -4.697 0.387 4.720
Ag 0.474 1.847 3.011
Ru -2.127 -1.726 1.393
Ru -5.110 1.155 0.096
Ru -5.233 -4.074 3.323
Ru -8.216 -1.193 2.025

Entry 9:
! La4Ag3Ru2 (GGA-PBE, optimized geometry); values from VASP
! - energy of formation (eV/atom) = -0.189
! - N(E_F) (states/eV per cell) = 13.66
&SYSTEM
  ibrav = 0, nat = 18, ntyp = 3
/
ATOMIC_SPECIES
La 138.91 La.upf
Ag 107.87 Ag.upf
Ru 101.07 Ru.upf
CELL_PARAMETERS angstrom
7.079 0.196 0.305
-0.023 7.677 -4.391
0.405 -0.030 8.852
ATOMIC_POSITIONS angstrom
La 4.765 5.674 4.038
La 6.221 7.316 -2.007
La 2.696 2.168 0.728
La 1.240 0.527 6.773
La 7.169 5.074 0.940
La 3.835 1.993 4.478
La 0.292 2.769 3.826
La 3.626 5.850 0.288
Ag 1.388 5.697 4.306
Ag 2.518 6.916 -2.476
Ag 6.073 2.146 0.460
Ag 4.943 0.927 7.242
Ag 5.298 3.845 -1.886
Ag 1.758 4.029 -2.200
Ru 5.042 3.633 2.565
Ru 5.949 7.549 0.499
Ru 2.419 4.210 2.201
Ru 1.513 0.294 4.267

Entry 10:
! La4AgRu (GGA-PBE, optimized geometry); values from VASP
! - energy of formation (eV/atom) = -0.180
! - N(E_F) (states/eV per cell) = 14.03
&SYSTEM
  ibrav = 0, nat = 12, ntyp = 3
/
ATOMIC_SPECIES
La 138.91 La.upf
Ag 107.87 Ag.upf
Ru 101.07 Ru.upf
CELL_PARAMETERS angstrom
-2.540 3.225 -5.658
3.440 -6.203 -3.107
-6.871 -2.404 5.046
ATOMIC_POSITIONS angstrom
La -1.473 -6.307 -1.665
La 2.082 -5.098 -2.283
La -2.177 -2.589 -0.216
La -4.937 -5.209 -0.182
La -4.497 0.925 -2.055
La -3.794 -2.793 -3.504
La -8.052 -0.284 -1.436
La -1.034 -0.173 -3.537
Ag -0.448 -3.225 -2.810
Ag -5.522 -2.157 -0.910
Ru -2.999 1.756 -4.131
Ru -2.972 -7.138 0.411

Entry 11:
! La6AgRu3 (GGA-PBE, optimized geometry); values from VASP
! - energy of formation (eV/atom) = -0.261
! - N(E_F) (states/eV per cell) = 12.76
&SYSTEM
  ibrav = 0, nat = 20, ntyp = 3
/
ATOMIC_SPECIES
La 138.91 La.upf
Ag 107.87 Ag.upf
Ru 101.07 Ru.upf
CELL_PARAMETERS angstrom
4.222 0.000 0.000
0.000 11.513 -3.699
0.000 -0.310 12.204
ATOMIC_POSITIONS angstrom
La 3.167 5.097 5.660
La 1.056 6.106 2.845
La 3.167 10.675 -2.352
La 1.056 0.528 10.857
La 3.167 4.463 -0.809
La 1.056 6.740 9.314
La 3.167 8.065 0.551
La 1.056 3.138 7.955
La 3.167 1.388 5.127
La 1.056 9.815 3.378
La 3.167 8.647 6.451
La 1.056 2.557 2.055
Ag 3.167 0.498 8.333
Ag 1.056 10.705 0.172
Ru 3.167 5.002 8.394
Ru 1.056 6.202 0.112
Ru 3.167 7.956 3.601
Ru 1.056 3.247 4.904
Ru 3.167 1.824 0.455
Ru 1.056 9.380 8.050

Entry 12:
! La6Ag2Ru (GGA-PBE, optimized geometry); values from VASP
! - energy of formation (eV/atom) = -0.193
! - N(E_F) (states/eV per cell) = 24.13
&SYSTEM
  ibrav = 0, nat = 18, ntyp = 3
/
ATOMIC_SPECIES
La 138.91 La.upf
Ag 107.87 Ag.upf
Ru 101.07 Ru.upf
CELL_PARAMETERS angstrom
-4.971 -3.970 -2.999
0.993 -5.386 5.485
-7.192 5.021 6.233
ATOMIC_POSITIONS angstrom
La -5.165 -7.469 4.289
La -7.427 -4.170 4.752
La -10.180 -2.243 7.226
La -7.186 -0.947 2.480
La -9.954 1.062 4.871
La -4.447 -3.794 2.291
La -6.006 3.134 4.430
La -3.743 -0.165 3.967
La -0.990 -2.091 1.493
La -3.985 -3.388 6.239
La -1.217 -5.396 3.849
La -6.723 -0.540 6.428
Ag -9.768 -2.063 4.108
Ag -7.189 -3.346 7.858
Ag -3.981 -0.989 0.861
Ag -1.403 -2.272 4.611
Ru -1.989 -4.678 1.243
Ru -3.596 2.511 3.117

Entry 13:
! La8AgRu2 (GGA-PBE, optimized geometry); values from VASP
! - energy of formation (eV/atom) = -0.139
! - N(E_F) (states/eV per cell) = 13.11
&SYSTEM
  ibrav = 0, nat = 11, ntyp = 3
/
ATOMIC_SPECIES
La 138.91 La.upf
Ag 107.87 Ag.upf
Ru 101.07 Ru.upf
CELL_PARAMETERS angstrom
7.236 -0.802 -0.609
-1.436 7.489 0.233
-1.436 2.241 7.150
ATOMIC_POSITIONS angstrom
La 0.431 4.635 5.697
La 3.934 2.193 3.845
La -0.422 8.321 6.314
La 4.787 0.607 0.460
La 0.431 6.735 2.930
La 3.934 4.293 1.077
La 3.905 5.977 4.535
La 0.460 2.951 2.239
Ag 0.000 0.000 0.000
Ru 2.078 7.489 5.682
Ru 2.287 1.439 1.092

Entry 14:
! La12Ag6Ru (GGA-PBE, optimized geometry); values from VASP
! - energy of formation (eV/atom) = -0.122
! - N(E_F) (states/eV per cell) = 21.69
&SYSTEM
  ibrav = 0, nat = 19, ntyp = 3
/
ATOMIC_SPECIES
La 138.91 La.upf
Ag 107.87 Ag.upf
Ru 101.07 Ru.upf
CELL_PARAMETERS angstrom
8.453 0.342 0.410
-0.943 8.407 0.410
-0.943 -1.099 8.345
ATOMIC_POSITIONS angstrom
La 5.861 4.593 4.408
La 2.587 6.326 5.307
La 3.651 3.177 7.173
La 0.706 3.058 4.757
La 3.980 1.324 3.859
La 2.915 4.473 1.993
La 7.814 0.690 3.095
La 7.069 6.004 0.910
La 4.863 -0.516 7.933
La -1.247 6.961 6.070
La -0.503 1.646 8.255
La 1.704 8.166 1.232
Ag 4.479 7.115 2.793
Ag 5.786 3.000 1.666
Ag 0.213 5.887 3.249
Ag 2.088 0.536 6.373
Ag 0.780 4.651 7.499
Ag 6.353 1.764 5.916
Ru 0.000 0.000 0.000

Entry 15:
! La3AgRu (GGA-PBE, optimized geometry); values from VASP
! - energy of formation (eV/atom) = -0.302
! - N(E_F) (states/eV per cell) = 16.69
&SYSTEM
  ibrav = 0, nat = 20, ntyp = 3
/
ATOMIC_SPECIES
La 138.91 La.upf
Ag 107.87 Ag.upf
Ru 101.07 Ru.upf
CELL_PARAMETERS angstrom
-0.478 4.302 1.059
-7.657 -1.857 4.091
7.455 -2.346 12.890
ATOMIC_POSITIONS angstrom
La 1.104 -0.799 8.428
La -5.156 1.217 6.791
La 2.424 0.203 14.327
La 4.163 1.789 8.669
La -1.783 0.897 9.612
La -4.842 -1.691 9.370
La 0.667 -2.795 16.337
La -0.634 1.927 5.945
La -0.045 -1.829 12.094
La 4.477 -1.119 11.248
La -1.346 2.893 1.702
La -3.103 -0.105 3.713
Ag -1.046 -0.355 15.028
Ag 0.367 0.453 3.011
Ag 1.712 0.911 11.131
Ag -2.390 -0.813 6.908
Ru 4.629 -1.714 13.734
Ru -2.162 -1.711 10.659
Ru 1.483 1.809 7.381
Ru -5.308 1.812 4.305

Entry 16:
! LaAg2Ru (GGA-PBE, optimized geometry); values from VASP
! - energy of formation (eV/atom) = 0.100
! - N(E_F) (states/eV per cell) = 2.01
&SYSTEM
  ibrav = 0, nat = 4, ntyp = 3
/
ATOMIC_SPECIES
Ag 107.87 Ag.upf
La 138.91 La.upf
Ru 101.07 Ru.upf
CELL_PARAMETERS angstrom
5.292 0.005 0.019
3.843 3.638 0.019
2.206 0.880 4.296
ATOMIC_POSITIONS angstrom
Ag 8.997 3.588 0.094
Ag 8.510 3.394 3.264
La 5.887 2.348 2.012
Ru 2.755 1.099 1.168

Entry 17:
! LaAg2Ru (GGA-PBE, optimized geometry); values from VASP
! - energy of formation (eV/atom) = 0.563
! - N(E_F) (states/eV per cell) = 3.61
&SYSTEM
  ibrav = 0, nat = 4, ntyp = 3
/
ATOMIC_SPECIES
Ag 107.87 Ag.upf
La 138.91 La.upf
Ru 101.07 Ru.upf
CELL_PARAMETERS angstrom
10.467 -0.007 -0.004
10.043 2.948 -0.004
10.043 1.440 2.572
ATOMIC_POSITIONS angstrom
Ag 30.243 4.336 2.538
Ag 15.587 2.235 1.308
La 22.915 3.286 1.923
Ru 7.638 1.095 0.641

Entry 18:
! LaAgRu (GGA-PBE, optimized geometry); values from VASP
! - energy of formation (eV/atom) = 0.174
! - N(E_F) (states/eV per cell) = 0.05
&SYSTEM
  ibrav = 0, nat = 3, ntyp = 3
/
ATOMIC_SPECIES
Ag 107.87 Ag.upf
La 138.91 La.upf
Ru 101.07 Ru.upf
CELL_PARAMETERS angstrom
-2.399 -1.898 -3.519
1.963 -3.297 -2.649
-1.474 -4.414 0.297
ATOMIC_POSITIONS angstrom
Ag 0.000 0.000 0.000
La -0.955 -4.804 -2.936
Ru -0.477 -2.402 -1.468

Entry 19:
! La4Ag3Ru (GGA-PBE, optimized geometry); values from VASP
! - energy of formation (eV/atom) = -0.243
! - N(E_F) (states/eV per cell) = 7.34
&SYSTEM
  ibrav = 0, nat = 8, ntyp = 3
/
ATOMIC_SPECIES
Ru 101.07 Ru.upf
Ag 107.87 Ag.upf
La 138.91 La.upf
CELL_PARAMETERS angstrom
3.673 0.000 0.000
0.000 3.673 0.000
0.000 0.000 15.729
ATOMIC_POSITIONS angstrom
Ru 1.836 1.836 0.000
Ag 1.836 1.836 3.840
Ag 1.836 1.836 7.865
Ag 1.836 1.836 11.890
La 0.000 0.000 14.031
La 0.000 0.000 1.698
La 0.000 0.000 5.837
La 0.000 0.000 9.893

Entry 20:
! La2AgRu (GGA-PBE, optimized geometry); values from VASP
! - energy of formation (eV/atom) = -0.191
! - N(E_F) (states/eV per cell) = 2.81
&SYSTEM
  ibrav = 0, nat = 4, ntyp = 3
/
ATOMIC_SPECIES
La 138.91 La.upf
Ag 107.87 Ag.upf
Ru 101.07 Ru.upf
CELL_PARAMETERS angstrom
4.160 0.000 0.000
2.080 3.603 0.000
2.080 1.201 7.687
ATOMIC_POSITIONS angstrom
La 2.080 1.201 6.142
La 2.080 1.201 1.551
Ag 4.160 2.402 3.815
Ru 4.160 2.402 0.023